The following is a DFT calculation (PBE-GGA) of crystalline ZrMoRh2 at its relaxed geometry.

abc: 4.7683 4.7683 2.8936
angles: 90.00 90.00 90.00
With the nearest neighbours (Å) after each atom.
Sites, in units of the cell vectors:
Zr  0.0000  0.0000  0.0000  8 Rh 2.79, 2 Zr 2.89
Mo  0.5000  0.5000  0.0000  8 Rh 2.79, 2 Mo 2.89
Rh  0.0000  0.5000  0.5000  4 Mo 2.79, 4 Zr 2.79, 2 Rh 2.89
Rh  0.5000  0.0000  0.5000  4 Mo 2.79, 4 Zr 2.79, 2 Rh 2.89

DFT formation energy = -0.251 eV/atom
crystal system = tetragonal
SG = No. 123

=====

The following is a DFT calculation (PBE-GGA) of crystalline ZrMo2Rh at its relaxed geometry.

abc: 4.5582 4.5582 4.5582
angles: 60.00 60.00 60.00
With the nearest neighbours (Å) after each atom.
Sites, in units of the cell vectors:
Zr  0.0000  0.0000  0.0000  4 Mo 2.79, 4 Rh 2.79
Mo  0.5000  0.5000  0.5000  4 Mo 2.79, 4 Rh 2.79
Mo  0.7500  0.7500  0.7500  4 Zr 2.79, 4 Mo 2.79
Rh  0.2500  0.2500  0.2500  4 Zr 2.79, 4 Mo 2.79

DFT formation energy = -0.140 eV/atom
crystal system = cubic
SG = No. 216

=====

The following is a DFT calculation (PBE-GGA) of crystalline Mo4Ru at its relaxed geometry.

abc: 6.1894 6.1894 6.1894
angles: 141.95 141.95 54.90
With the nearest neighbours (Å) after each atom.
Sites, in units of the cell vectors:
Mo  0.1109  0.1109  0.0000  5 Mo 2.44-2.53
Mo  0.2500  0.7500  0.5000  4 Mo 2.53
Mo  0.7500  0.2500  0.5000  4 Mo 2.53
Mo  0.8891  0.8891  0.0000  5 Mo 2.44-2.53
Ru  0.5000  0.5000  0.0000  16 Mo 3.10-3.41

DFT formation energy = 1.076 eV/atom
crystal system = tetragonal
SG = No. 139

=====

The following is a DFT calculation (PBE-GGA) of crystalline Mo4Ru at its relaxed geometry.

abc: 4.9817 4.9817 4.9817
angles: 109.47 109.47 109.47
With the nearest neighbours (Å) after each atom.
Sites, in units of the cell vectors:
Mo  0.0000  0.0000  0.5000  2 Ru 2.49
Mo  0.0000  0.5000  0.0000  2 Ru 2.49
Mo  0.5000  0.0000  0.0000  2 Ru 2.49
Mo  0.5000  0.5000  0.5000  2 Ru 2.49
Ru  0.0000  0.0000  0.0000  8 Mo 2.49

DFT formation energy = 1.329 eV/atom
crystal system = cubic
SG = No. 229

=====

The following is a DFT calculation (PBE-GGA) of crystalline Mo5Ru3 at its relaxed geometry.

abc: 7.6111 7.6111 4.9903
angles: 90.00 90.00 120.00
With the nearest neighbours (Å) after each atom.
Sites, in units of the cell vectors:
Mo  0.0000  0.2152  0.2500  5 Ru 2.75-2.95, 6 Mo 2.84-2.98
Mo  0.0000  0.7848  0.7500  5 Ru 2.75-2.95, 6 Mo 2.84-2.98
Mo  0.2152  0.0000  0.2500  5 Ru 2.75-2.95, 6 Mo 2.84-2.98
Mo  0.2152  0.2152  0.7500  5 Ru 2.75-2.95, 6 Mo 2.84-2.98
Mo  0.3333  0.6667  0.0000  2 Mo 2.50, 6 Ru 2.59
Mo  0.3333  0.6667  0.5000  2 Mo 2.50, 6 Ru 2.59
Mo  0.6667  0.3333  0.0000  2 Mo 2.50, 6 Ru 2.59
Mo  0.6667  0.3333  0.5000  2 Mo 2.50, 6 Ru 2.59
Mo  0.7848  0.0000  0.7500  5 Ru 2.75-2.95, 6 Mo 2.84-2.98
Mo  0.7848  0.7848  0.2500  5 Ru 2.75-2.95, 6 Mo 2.84-2.98
Ru  0.0000  0.4229  0.7500  7 Mo 2.59-2.79, 2 Ru 2.76
Ru  0.0000  0.5771  0.2500  7 Mo 2.59-2.79, 2 Ru 2.76
Ru  0.4229  0.0000  0.7500  7 Mo 2.59-2.79, 2 Ru 2.76
Ru  0.4229  0.4229  0.2500  7 Mo 2.59-2.79, 2 Ru 2.76
Ru  0.5771  0.0000  0.2500  7 Mo 2.59-2.79, 2 Ru 2.76
Ru  0.5771  0.5771  0.7500  7 Mo 2.59-2.79, 2 Ru 2.76

DFT formation energy = 0.228 eV/atom
crystal system = hexagonal
SG = No. 193

=====

The following is a DFT calculation (PBE-GGA) of crystalline Mo7Ru6 at its relaxed geometry.

abc: 9.4093 9.4093 9.4093
angles: 31.48 31.48 31.48
With the nearest neighbours (Å) after each atom.
Sites, in units of the cell vectors:
Mo  0.0000  0.0000  0.0000  6 Mo 2.60
Mo  0.0885  0.0885  0.5844  5 Mo 2.53-2.60, 4 Ru 2.72-2.80
Mo  0.0885  0.5844  0.0885  5 Mo 2.53-2.60, 4 Ru 2.72-2.80
Mo  0.4156  0.9115  0.9115  5 Mo 2.53-2.60, 4 Ru 2.72-2.80
Mo  0.5844  0.0885  0.0885  5 Mo 2.53-2.60, 4 Ru 2.72-2.80
Mo  0.9115  0.4156  0.9115  5 Mo 2.53-2.60, 4 Ru 2.72-2.80
Mo  0.9115  0.9115  0.4156  5 Mo 2.53-2.60, 4 Ru 2.72-2.80
Ru  0.1681  0.1681  0.1681  6 Mo 2.72-2.80, 3 Ru 2.95
Ru  0.3474  0.3474  0.3474  4 Ru 2.87-3.04, 12 Mo 2.90-3.10
Ru  0.4545  0.4545  0.4545  1 Ru 2.44
Ru  0.5455  0.5455  0.5455  1 Ru 2.44
Ru  0.6526  0.6526  0.6526  4 Ru 2.87-3.04, 12 Mo 2.90-3.10
Ru  0.8319  0.8319  0.8319  6 Mo 2.72-2.80, 3 Ru 2.95

DFT formation energy = 0.276 eV/atom
crystal system = trigonal
SG = No. 166

=====

The following is a DFT calculation (PBE-GGA) of crystalline Mo5Ru4 at its relaxed geometry.

abc: 6.2419 6.2419 6.2419
angles: 95.48 95.48 144.00
With the nearest neighbours (Å) after each atom.
Sites, in units of the cell vectors:
Mo  0.0000  0.0000  0.0000  8 Mo 2.82, 4 Ru 2.89
Mo  0.3273  0.3273  0.6545  6 Mo 2.66-2.90, 6 Ru 2.75-2.81
Mo  0.3273  0.6727  0.0000  6 Mo 2.66-2.90, 6 Ru 2.75-2.81
Mo  0.6727  0.3273  0.0000  6 Mo 2.66-2.90, 6 Ru 2.75-2.81
Mo  0.6727  0.6727  0.3455  6 Mo 2.66-2.90, 6 Ru 2.75-2.81
Ru  0.0000  0.3438  0.3438  5 Ru 2.62-2.68, 7 Mo 2.75-2.89
Ru  0.0000  0.6562  0.6562  5 Ru 2.62-2.68, 7 Mo 2.75-2.89
Ru  0.3438  0.0000  0.3438  5 Ru 2.62-2.68, 7 Mo 2.75-2.89
Ru  0.6562  0.0000  0.6562  5 Ru 2.62-2.68, 7 Mo 2.75-2.89

DFT formation energy = 0.122 eV/atom
crystal system = tetragonal
SG = No. 139

=====

The following is a DFT calculation (PBE-GGA) of crystalline Mo5Ru3 at its relaxed geometry.

abc: 5.5457 5.5457 3.9490
angles: 90.00 90.00 90.02
With the nearest neighbours (Å) after each atom.
Sites, in units of the cell vectors:
Mo  0.0000  0.0000  0.0000  4 Ru 2.76, 8 Mo 2.77-2.85
Mo  0.0000  0.5000  0.0000  6 Mo 2.77-2.78, 6 Ru 2.77-2.78
Mo  0.2614  0.7386  0.5000  6 Ru 2.72-2.82, 6 Mo 2.78-2.85
Mo  0.5000  0.0000  0.0000  6 Mo 2.77-2.78, 6 Ru 2.77-2.78
Mo  0.7386  0.2614  0.5000  6 Ru 2.72-2.82, 6 Mo 2.78-2.85
Ru  0.2467  0.2467  0.5000  10 Mo 2.73-2.82, 2 Ru 2.80
Ru  0.5000  0.5000  0.0000  8 Mo 2.72-2.77, 4 Ru 2.80
Ru  0.7533  0.7533  0.5000  10 Mo 2.73-2.82, 2 Ru 2.80

DFT formation energy = 0.125 eV/atom
crystal system = orthorhombic
SG = No. 65